A crystal of InReOs2 relaxed with PBEsol. Source: the Alexandria database, functional meta-GGA SCAN.

The total energy is -246.70 eV for the cell shown. The calculation puts the formation energy from the elements at 0.39 eV/atom. The value obtained for the spin magnetization is 0.00 μB/f.u.

The space group is P4mm (No. 99) and the conventional cell measures 2.7962, 2.7962 and 7.9122 Å, with angles of 90.00, 90.00 and 90.00 degrees. The inequivalent atoms are In at (0.0000, 0.0000, 0.0000), Re at (0.5000, 0.5000, 0.7250), Os at (0.0000, 0.0000, 0.4957) and Os at (0.5000, 0.5000, 0.2680).

A crystal of In2ReOs relaxed with PBEsol. Source: the Alexandria database, functional meta-GGA SCAN.

The total energy is -620.99 eV for the cell shown. The calculation puts the formation energy from the elements at 0.69 eV/atom. The value obtained for the spin magnetization is 1.05 μB/f.u.

The space group is R-3m (No. 166, hexagonal axes) and the conventional cell measures 2.9371, 2.9371 and 26.9944 Å, with angles of 90.00, 90.00 and 120.00 degrees. The inequivalent atoms are In at (0.0000, 0.0000, 0.2485), Re at (0.0000, 0.0000, 0.0000) and Os at (0.0000, 0.0000, 0.5000).

A crystal of InReOs relaxed with PBEsol. Source: the Alexandria database, functional meta-GGA SCAN.

The total energy is -175.26 eV for the cell shown. The calculation puts the formation energy from the elements at 0.37 eV/atom. The value obtained for the spin magnetization is 0.00 μB/f.u.

The space group is P3m1 (No. 156) and the conventional cell measures 2.8355, 2.8355 and 6.8953 Å, with angles of 90.00, 90.00 and 120.00 degrees. The inequivalent atoms are In at (0.0000, 0.0000, 0.0000), Re at (0.6667, 0.3333, 0.3551) and Os at (0.3333, 0.6667, 0.6483).

A crystal of ZnIn2ReOs relaxed with PBEsol. Source: the Alexandria database, functional meta-GGA SCAN.

The total energy is -215.76 eV for the cell shown. The calculation puts the formation energy from the elements at 1.50 eV/atom. The value obtained for the spin magnetization is 5.11 μB/f.u.

The space group is P4/mmm (No. 123) and the conventional cell measures 5.0229, 5.0229 and 4.7142 Å, with angles of 90.00, 90.00 and 90.00 degrees. The inequivalent atoms are Zn at (0.0000, 0.0000, 0.0000), In at (0.0000, 0.5000, 0.5000), Re at (0.5000, 0.5000, 0.0000) and Os at (0.0000, 0.0000, 0.5000).